## Fe3CoBi4As4O24 (GGA+U)

Data for Fe3CoBi4As4O24 after structural relaxation.

Values from the calculation:
**Size of the total moment**: 15.425 μB/cell
**E**: -215.6 eV per cell
**Space-group type**: P-1, No. 2

Unit cell a=7.697 b=7.929 c=9.043 alpha=108.30 beta=94.39 gamma=109.24
Element x y z (fractional)
Fe 0.000 0.000 0.000
Fe 0.255 0.759 0.009
Fe 0.745 0.241 0.991
Co 0.500 0.500 0.000
Bi 0.173 0.003 0.375
Bi 0.330 0.497 0.623
Bi 0.670 0.503 0.377
Bi 0.827 0.997 0.625
As 0.194 0.492 0.228
As 0.304 0.993 0.762
As 0.696 0.007 0.238
As 0.806 0.508 0.772
O 0.027 0.292 0.082
O 0.091 0.200 0.564
O 0.092 0.011 0.798
O 0.150 0.500 0.410
O 0.175 0.689 0.196
O 0.232 0.003 0.120
O 0.288 0.498 0.904
O 0.313 0.795 0.803
O 0.343 0.966 0.576
O 0.410 0.481 0.195
O 0.419 0.302 0.443
O 0.473 0.192 0.904
O 0.527 0.808 0.096
O 0.581 0.698 0.557
O 0.590 0.519 0.805
O 0.657 0.034 0.424
O 0.687 0.205 0.197
O 0.712 0.502 0.096
O 0.768 0.997 0.880
O 0.825 0.311 0.804
O 0.850 0.500 0.590
O 0.908 0.989 0.202
O 0.909 0.800 0.436
O 0.973 0.708 0.918